# CaN2F (GGA-PBE, optimized geometry)
# energy relative to the elements, uncorrected	2.6	eV/f.u.
# theoretical density	2.98	g/cm³
data_CaN2F
_chemical_formula_sum 'Ca3 N6 F3'
_cell_length_a 3.7777
_cell_length_b 3.7777
_cell_length_c 11.7892
_cell_angle_alpha 90.00
_cell_angle_beta 90.00
_cell_angle_gamma 120.00
_symmetry_space_group_name_H-M 'R -3 m'
_symmetry_Int_Tables_number 166
_symmetry_space_group_name_Hall '-R 3 2"'
loop_
_atom_site_label
_atom_site_fract_x
_atom_site_fract_y
_atom_site_fract_z
_atom_site_occupancy
Ca1 0.0000 0.0000 0.0000 1
N1 0.0000 0.0000 0.1933 1
F1 0.0000 0.0000 0.5000 1